Material: TaHgSe2
Method: DFT, GGA-PBE
State: optimized geometry

calculated total energy = -5.13 eV per atom
density = 7.43 Mg/m³
space group = No. 15
formation energy without anion corrections = -0.352 eV per atom

Lattice parameters (Å, degrees): 19.8484 7.7258 7.7258 98.22 115.46 64.54
Sites, in units of the cell vectors:
Hg (0.4697, 0.3341, 0.9603)
Hg (0.0303, 0.4603, 0.8341)
Hg (0.5303, 0.6659, 0.0397)
Hg (0.9697, 0.5397, 0.1659)
Hg (0.3723, 0.7342, 0.0658)
Hg (0.1277, 0.5658, 0.2342)
Hg (0.6277, 0.2658, 0.9342)
Hg (0.8723, 0.4342, 0.7658)
Se (0.9379, 0.8604, 0.7524)
Se (0.5621, 0.2524, 0.3604)
Se (0.0621, 0.1396, 0.2476)
Se (0.4379, 0.7476, 0.6396)
Se (0.7888, 0.3067, 0.3653)
Se (0.7112, 0.8653, 0.8067)
Se (0.2112, 0.6933, 0.6347)
Se (0.2888, 0.1347, 0.1933)
Se (0.6134, 0.6852, 0.4138)
Se (0.8866, 0.9138, 0.1852)
Se (0.3866, 0.3148, 0.5862)
Se (0.1134, 0.0862, 0.8148)
Se (0.7500, 0.3514, 0.8514)
Se (0.2500, 0.6486, 0.1486)
Se (0.7500, 0.7514, 0.2514)
Se (0.2500, 0.2486, 0.7486)
Ta (0.1946, 0.0039, 0.1961)
Ta (0.3054, 0.6961, 0.5039)
Ta (0.8054, 0.9961, 0.8039)
Ta (0.6946, 0.3039, 0.4961)
Ta (0.3204, 0.0694, 0.5380)
Ta (0.1796, 0.0380, 0.5694)
Ta (0.6796, 0.9306, 0.4620)
Ta (0.8204, 0.9620, 0.4306)

***

Material: TaHg2Se
Method: DFT, GGA-PBE
State: optimized geometry

calculated total energy = -3.95 eV per atom
density = 10.26 Mg/m³
space group = No. 42
formation energy without anion corrections = 0.030 eV per atom

Lattice parameters (Å, degrees): 4.8508 4.8508 8.6431 59.96 59.96 38.34
Sites, in units of the cell vectors:
Hg (0.9968, 0.9968, 0.0457)
Hg (0.6672, 0.6672, 0.7044)
Se (0.5610, 0.5610, 0.3748)
Ta (0.2750, 0.2750, 0.3751)

***

- Number 1 is which compound?
  TaHgSe2